Entry 1:
The following is a DFT calculation (PBE-GGA) of a geometry-optimized Ca5Ac6La structure.

Summary:
Its space group is Immm (71). The density of states at the Fermi level comes out at 19.4 states/eV per cell. The formation energy comes out at 5.7 kJ/mol of atoms. Its energy is -0.238 Ry per atom. As for the total moment: 0.0 μB/cell.

abc: 5.5222 10.3951 10.3951
angles: 105.90 105.38 105.38
Closest atoms and distances in Å follow each position.
Sites, in units of the cell vectors:
La (0.0000, 0.0000, 0.0000)  8 Ac 3.88, 4 Ca 3.92
Ac (0.7550, 0.5902, 0.9193)  1 La 3.88, 4 Ac 3.88-3.96, 7 Ca 3.90-4.00
Ac (0.2576, 0.7574, 0.7574)  2 La 3.88, 4 Ac 3.88, 6 Ca 3.89-4.00
Ac (0.2450, 0.0807, 0.4098)  1 La 3.88, 4 Ac 3.88-3.96, 7 Ca 3.90-4.00
Ac (0.7424, 0.2426, 0.2426)  2 La 3.88, 4 Ac 3.88, 6 Ca 3.89-4.00
Ac (0.7550, 0.9193, 0.5902)  1 La 3.88, 4 Ac 3.88-3.96, 7 Ca 3.90-4.00
Ac (0.2450, 0.4098, 0.0807)  1 La 3.88, 4 Ac 3.88-3.96, 7 Ca 3.90-4.00
Ca (0.5000, 0.1673, 0.8327)  8 Ac 3.89-4.00, 2 La 3.92, 2 Ca 3.92
Ca (0.0000, 0.3354, 0.6646)  4 Ca 3.88-3.92, 8 Ac 3.95-3.98
Ca (0.5000, 0.8327, 0.1673)  8 Ac 3.89-4.00, 2 La 3.92, 2 Ca 3.92
Ca (0.0000, 0.6646, 0.3354)  4 Ca 3.88-3.92, 8 Ac 3.95-3.98
Ca (0.5000, 0.5000, 0.5000)  4 Ca 3.88, 8 Ac 3.96-4.00

=====

Entry 2:
The following is a DFT calculation (PBE-GGA) of a geometry-optimized OsRhNO2 structure.

Summary:
Its space group is P4/mmm (123). The density of states at the Fermi level comes out at 6.5 states/eV per cell. The calculation puts the raw formation energy at 0.41 eV per atom. Its energy is -0.511 Ry per atom. As for the total moment: 1.7 μB/cell.

abc: 3.8785 3.8785 3.8704
angles: 90.00 90.00 90.00
Closest atoms and distances in Å follow each position.
Sites, in units of the cell vectors:
O (0.0000, 0.5000, 0.0000)  2 Os 1.94
O (0.5000, 0.0000, 0.0000)  2 Os 1.94
N (0.0000, 0.0000, 0.5000)  2 Os 1.94
Rh (0.5000, 0.5000, 0.5000)  8 O 2.74, 4 N 2.74
Os (0.0000, 0.0000, 0.0000)  2 N 1.94, 4 O 1.94

=====

Entry 3:
The following is a DFT calculation (PBE-GGA) of a geometry-optimized Cd3HgAu structure.

Summary:
Its space group is Pm-3m (221). The density of states at the Fermi level comes out at 1.7 states/eV per cell. The formation energy comes out at 3.2 kJ/mol of atoms. Its energy is -0.091 Ry per atom. The offset from the most stable computed form is 80.6 meV per atom. As for the total moment: 0.0 μB/cell.

abc: 5.3612 5.3612 5.3612
angles: 90.00 90.00 90.00
Closest atoms and distances in Å follow each position.
Sites, in units of the cell vectors:
Cd (0.0000, 0.0000, 0.5000)  2 Au 2.68
Cd (0.5000, 0.0000, 0.0000)  2 Au 2.68
Cd (0.0000, 0.5000, 0.0000)  2 Au 2.68
Hg (0.5000, 0.5000, 0.5000)  12 Cd 3.79
Au (0.0000, 0.0000, 0.0000)  6 Cd 2.68

=====

Entry 4:
The following is a DFT calculation (PBE-GGA) of a geometry-optimized SrCdRu2 structure.

Summary:
Its space group is F-43m (216). The density of states at the Fermi level comes out at 4.7 states/eV per cell. The formation energy comes out at 62.0 kJ/mol of atoms. Its energy is -0.341 Ry per atom. As for the total moment: 1.8 μB/cell.

abc: 4.8259 4.8259 4.8259
angles: 60.00 60.00 60.00
Closest atoms and distances in Å follow each position.
Sites, in units of the cell vectors:
Ru (0.0000, 0.0000, 0.0000)  4 Sr 2.96, 4 Ru 2.96
Ru (0.7500, 0.7500, 0.7500)  4 Cd 2.96, 4 Ru 2.96
Cd (0.5000, 0.5000, 0.5000)  4 Ru 2.96, 4 Sr 2.96
Sr (0.2500, 0.2500, 0.2500)  4 Cd 2.96, 4 Ru 2.96

=====

Entry 5:
The following is a DFT calculation (PBE-GGA) of a geometry-optimized TaRh2Cl structure.

Summary:
Its space group is Immm (71). The density of states at the Fermi level comes out at 2.6 states/eV per cell. The calculation puts the raw formation energy at 0.07 eV per atom. Its energy is -0.517 Ry per atom. The offset from the most stable computed form is 415.2 meV per atom. As for the total moment: 0.0 μB/cell.

abc: 5.3070 5.3070 5.3070
angles: 148.27 127.69 62.49
Closest atoms and distances in Å follow each position.
Sites, in units of the cell vectors:
Cl (0.2500, 0.7500, 0.5000)  4 Rh 2.66, 4 Ta 2.75, 2 Cl 2.90
Ta (0.7500, 0.2500, 0.5000)  4 Rh 2.72, 4 Cl 2.75, 2 Ta 2.90
Rh (0.4962, 0.4962, 0.0000)  2 Cl 2.66, 2 Ta 2.72, 6 Rh 2.75-2.90
Rh (0.0038, 0.0038, 0.0000)  2 Cl 2.66, 2 Ta 2.72, 6 Rh 2.75-2.90

=====

Entry 6:
The following is a DFT calculation (PBE-GGA) of a geometry-optimized K3Cd2Hg5 structure.

Summary:
Its space group is P4/mbm (127). The density of states at the Fermi level comes out at 9.8 states/eV per cell. The formation energy comes out at -16.7 kJ/mol of atoms. Its energy is -0.061 Ry per atom. The offset from the most stable computed form is 0.0 meV per atom. As for the total moment: 0.0 μB/cell.

abc: 4.6345 11.8485 11.8485
angles: 90.00 90.00 90.00
Closest atoms and distances in Å follow each position.
Sites, in units of the cell vectors:
Hg (0.5000, 0.2914, 0.5766)  2 Cd 3.15, 2 K 3.51
Hg (0.5000, 0.2086, 0.0766)  2 Cd 3.15, 2 K 3.51
Hg (0.5000, 0.7086, 0.4234)  2 Cd 3.15, 2 K 3.51
Hg (0.5000, 0.7914, 0.9234)  2 Cd 3.15, 2 K 3.51
Hg (0.5000, 0.5000, 0.0000)  4 Cd 3.02
Hg (0.5000, 0.9234, 0.2086)  2 Cd 3.15, 2 K 3.51
Hg (0.5000, 0.0000, 0.5000)  4 Cd 3.02
Hg (0.5000, 0.4234, 0.2914)  2 Cd 3.15, 2 K 3.51
Hg (0.5000, 0.5766, 0.7086)  2 Cd 3.15, 2 K 3.51
Hg (0.5000, 0.0766, 0.7914)  2 Cd 3.15, 2 K 3.51
K (0.0000, 0.5000, 0.5000)  8 Hg 3.51
K (0.0000, 0.1761, 0.3239)  3 Cd 3.49-3.53, 6 Hg 3.75-3.76
K (0.0000, 0.8239, 0.6761)  3 Cd 3.49-3.53, 6 Hg 3.75-3.76
K (0.0000, 0.6761, 0.1761)  3 Cd 3.49-3.53, 6 Hg 3.75-3.76
K (0.0000, 0.0000, 0.0000)  8 Hg 3.51
K (0.0000, 0.3239, 0.8239)  3 Cd 3.49-3.53, 6 Hg 3.75-3.76
Cd (0.0000, 0.6158, 0.8842)  6 Hg 3.02-3.15
Cd (0.0000, 0.1158, 0.6158)  6 Hg 3.02-3.15
Cd (0.0000, 0.3842, 0.1158)  6 Hg 3.02-3.15
Cd (0.0000, 0.8842, 0.3842)  6 Hg 3.02-3.15

=====

Entry 7:
The following is a DFT calculation (PBE-GGA) of a geometry-optimized Ti4Tc3Os2 structure.

Summary:
Its space group is P-3m1 (164). The density of states at the Fermi level comes out at 4.7 states/eV per cell. The formation energy comes out at -51.5 kJ/mol of atoms. Its energy is -0.735 Ry per atom. As for the total moment: 0.0 μB/cell.

abc: 4.3593 4.3592 8.1500
angles: 90.01 90.00 60.00
Closest atoms and distances in Å follow each position.
Sites, in units of the cell vectors:
Os (0.3334, 0.3332, 0.7758)  7 Ti 2.65-2.71, 1 Tc 2.67
Os (0.6666, 0.6668, 0.2242)  7 Ti 2.65-2.71, 1 Tc 2.67
Ti (0.3333, 0.3334, 0.1083)  4 Tc 2.67-2.77, 4 Os 2.69-2.71
Ti (0.9999, 0.0001, 0.3258)  3 Os 2.65, 4 Tc 2.65-2.71, 1 Ti 2.84
Ti (0.6667, 0.6666, 0.8917)  4 Tc 2.67-2.77, 4 Os 2.69-2.71
Ti (0.0001, 0.9999, 0.6742)  3 Os 2.65, 4 Tc 2.65-2.71, 1 Ti 2.84
Tc (0.6667, 0.6666, 0.5513)  3 Tc 2.65, 1 Os 2.67, 4 Ti 2.71-2.77
Tc (0.3333, 0.3334, 0.4487)  3 Tc 2.65, 1 Os 2.67, 4 Ti 2.71-2.77
Tc (0.0000, 0.0000, 0.0000)  8 Ti 2.65-2.67

=====

Entry 8:
The following is a DFT calculation (PBE-GGA) of a geometry-optimized YRe2As structure.

Summary:
Its space group is Pmmm (47). The density of states at the Fermi level comes out at 3.9 states/eV per cell. The formation energy comes out at 45.0 kJ/mol of atoms. Its energy is -0.627 Ry per atom. As for the total moment: 0.0 μB/cell.

abc: 3.0892 4.1916 5.7191
angles: 90.00 90.00 90.00
Closest atoms and distances in Å follow each position.
Sites, in units of the cell vectors:
Y (0.5000, 0.5000, 0.2500)  2 As 2.86, 2 Y 3.09, 8 Re 3.10
As (0.5000, 0.5000, 0.7500)  8 Re 2.86, 2 Y 2.86, 2 As 3.09
Re (0.0000, 0.0000, 0.5433)  1 Re 2.36
Re (0.0000, 0.0000, 0.9567)  1 Re 2.36

=====

Entry 9:
The following is a DFT calculation (PBE-GGA) of a geometry-optimized Cs5Pt2Br structure.

Summary:
Its space group is I4/mcm (140). The density of states at the Fermi level comes out at 4.7 states/eV per cell. The calculation puts the raw formation energy at -0.46 eV per atom. Its energy is -0.199 Ry per atom. As for the total moment: 0.0 μB/cell.

abc: 9.2493 9.2493 10.4528
angles: 116.26 116.26 90.00
Closest atoms and distances in Å follow each position.
Sites, in units of the cell vectors:
Cs (0.1957, 0.0398, 0.7355)  3 Pt 3.43-3.58
Cs (0.8043, 0.9602, 0.2645)  3 Pt 3.43-3.58
Cs (0.9602, 0.4602, 0.2645)  3 Pt 3.43-3.58
Cs (0.5398, 0.6957, 0.7355)  3 Pt 3.43-3.58
Cs (0.4602, 0.3043, 0.2645)  3 Pt 3.43-3.58
Cs (0.3043, 0.8043, 0.2645)  3 Pt 3.43-3.58
Cs (0.5000, 0.5000, 0.0000)  4 Pt 3.75, 8 Cs 4.05, 2 Br 4.08
Cs (0.0000, 0.0000, 0.0000)  4 Pt 3.75, 8 Cs 4.05, 2 Br 4.08
Cs (0.0398, 0.5398, 0.7355)  3 Pt 3.43-3.58
Cs (0.6957, 0.1957, 0.7355)  3 Pt 3.43-3.58
Pt (0.3906, 0.8906, 0.0000)  1 Pt 2.86
Pt (0.1094, 0.3906, 0.0000)  1 Pt 2.86
Pt (0.8906, 0.6094, 0.0000)  1 Pt 2.86
Pt (0.6094, 0.1094, 0.0000)  1 Pt 2.86
Br (0.7500, 0.7500, 0.5000)  10 Cs 3.93-4.08
Br (0.2500, 0.2500, 0.5000)  10 Cs 3.93-4.08

=====

Entry 10:
The following is a DFT calculation (PBE-GGA) of a geometry-optimized MnCu3S structure.

Summary:
Its space group is Pm-3m (221). The density of states at the Fermi level comes out at 4.2 states/eV per cell. The calculation puts the raw formation energy at 0.57 eV per atom. Its energy is -0.334 Ry per atom. The offset from the most stable computed form is 0.0 meV per atom. As for the total moment: 4.2 μB/cell.

abc: 4.3573 4.3573 4.3573
angles: 90.00 90.00 90.00
Closest atoms and distances in Å follow each position.
Sites, in units of the cell vectors:
Mn (0.5000, 0.5000, 0.5000)  12 Cu 3.08
S (0.0000, 0.0000, 0.0000)  6 Cu 2.18
Cu (0.0000, 0.0000, 0.5000)  2 S 2.18
Cu (0.0000, 0.5000, 0.0000)  2 S 2.18
Cu (0.5000, 0.0000, 0.0000)  2 S 2.18

=====

Entry 11:
The following is a DFT calculation (PBE-GGA) of a geometry-optimized Ac2DyGe3Au4 structure.

Summary:
Its space group is P-4m2 (115). The density of states at the Fermi level comes out at 4.3 states/eV per cell. The formation energy comes out at -64.1 kJ/mol of atoms. Its energy is -0.341 Ry per atom. As for the total moment: 0.0 μB/cell.

abc: 4.5005 4.5005 11.8659
angles: 90.00 90.00 90.00
Closest atoms and distances in Å follow each position.
Sites, in units of the cell vectors:
Au (0.0000, 0.0000, 0.0000)  4 Ge 2.70
Au (0.0000, 0.5000, 0.3447)  1 Ge 2.60
Au (0.5000, 0.5000, 0.0000)  4 Ge 2.70
Au (0.5000, 0.0000, 0.6553)  1 Ge 2.60
Ac (0.0000, 0.5000, 0.7798)  4 Ge 3.37, 8 Au 3.45-3.51
Ac (0.5000, 0.0000, 0.2202)  4 Ge 3.37, 8 Au 3.45-3.51
Ge (0.5000, 0.0000, 0.8742)  5 Au 2.60-2.70
Ge (0.0000, 0.5000, 0.1258)  5 Au 2.60-2.70
Ge (0.0000, 0.0000, 0.5000)  4 Au 2.91, 4 Dy 3.18
Dy (0.5000, 0.5000, 0.5000)  4 Au 2.91, 4 Ge 3.18

=====

Entry 12:
The following is a DFT calculation (PBE-GGA) of a geometry-optimized Rb4Y3GeO8 structure.

Summary:
Its space group is R-3m (166). The density of states at the Fermi level comes out at 1.6 states/eV per cell. The calculation puts the raw formation energy at -2.26 eV per atom. Its energy is -0.476 Ry per atom. As for the total moment: 0.0 μB/cell.

abc: 6.9386 7.6704 6.9382
angles: 116.87 120.00 90.00
Closest atoms and distances in Å follow each position.
Sites, in units of the cell vectors:
Rb (0.5000, 0.0000, 0.0000)  6 O 2.96
Rb (0.0000, 0.0000, 0.5000)  6 O 2.90-2.91
Rb (0.0000, 0.0000, 0.0000)  6 O 2.90-2.92
Rb (0.5000, 0.0000, 0.5000)  6 O 2.90-2.91
O (0.7799, 0.3255, 0.0457)  1 Ge 2.26, 2 Y 2.33
O (0.2200, 0.6744, 0.4400)  1 Ge 2.26, 2 Y 2.33
O (0.7343, 0.6745, 0.9543)  1 Ge 2.26, 2 Y 2.33
O (0.7800, 0.3256, 0.5600)  1 Ge 2.26, 2 Y 2.33
O (0.7254, 0.6763, 0.4508)  3 Y 2.31
O (0.2746, 0.3237, 0.5492)  3 Y 2.31
O (0.2201, 0.6745, 0.9543)  1 Ge 2.26, 2 Y 2.33
O (0.2657, 0.3255, 0.0457)  1 Ge 2.26, 2 Y 2.33
Ge (0.0000, 0.5000, 0.0000)  6 O 2.26
Y (0.5000, 0.5000, 0.0000)  6 O 2.31-2.33
Y (0.0000, 0.5000, 0.5000)  6 O 2.31-2.33
Y (0.5000, 0.5000, 0.5000)  6 O 2.31-2.33

=====

Question: total moment of number 4 (SrCdRu2)?
Answer: 1.8 μB/cell

=====

Question: energy of number 5 (TaRh2Cl)?
Answer: -0.517 Ry per atom

=====

Question: The lowest energy belongs to which entry?
Answer: Ti4Tc3Os2

=====

Question: energy of number 8 (YRe2As)?
Answer: -0.627 Ry per atom